Below is a relaxed structure of Pm3Sc2Tl3, with properties calculated at the GGA-PBE level.

abc: 4.422 4.922 20.494
angles: 90.00 90.00 90.00
Space group Immm (No. 71)
Symmetry-distinct sites (fractional):
Pm 0.000 0.000 0.000 x2
Pm 0.000 0.500 0.123 x4
Sc 0.000 0.000 0.242 x4
Tl 0.000 0.000 0.500 x2
Tl 0.000 0.500 0.358 x4

Results
final energy	-72.101	eV for the cell shown
size of the total moment	0.81	μB per formula unit

---

Below is a relaxed structure of PmSc3Tl, with properties calculated at the GGA-PBE level.

abc: 5.158 6.919 7.462
angles: 90.00 90.00 90.00
Space group Pmmn (No. 59, origin choice 2)
Symmetry-distinct sites (fractional):
Pm 0.250 0.250 0.189 x2
Sc 0.250 0.034 0.723 x4
Sc 0.250 0.750 0.060 x2
Tl 0.250 0.750 0.435 x2

Results
ΔE to the lowest computed polymorph	0.000	eV per atom
final energy	-52.910	eV for the cell shown
size of the total moment	0.00	μB per formula unit

---

Below is a relaxed structure of Pm2TmScTl2, with properties calculated at the GGA-PBE level.

abc: 4.988 9.959 6.861
angles: 90.00 90.00 90.00
Space group Pmc2_1 (No. 26)
Symmetry-distinct sites (fractional):
Pm 0.000 0.046 0.000 x2
Pm 0.500 0.190 0.275 x2
Tm 0.500 0.457 0.900 x2
Sc 0.000 0.313 0.612 x2
Tl 0.000 0.385 0.169 x2
Tl 0.500 0.150 0.739 x2

Results
final energy	-53.091	eV for the cell shown
size of the total moment	0.00	μB per formula unit

---

Below is a relaxed structure of PmY2ScTl2, with properties calculated at the GGA-PBE level.

abc: 4.967 9.827 7.011
angles: 90.00 90.00 90.00
Space group Pmc2_1 (No. 26)
Symmetry-distinct sites (fractional):
Pm 0.000 0.052 0.000 x2
Y 0.000 0.312 0.396 x2
Y 0.500 0.448 0.101 x2
Sc 0.500 0.198 0.710 x2
Tl 0.000 0.367 0.837 x2
Tl 0.500 0.121 0.278 x2

Results
final energy	-60.838	eV for the cell shown
size of the total moment	0.00	μB per formula unit

---

For reference, DOS(E_F) by record: 20.513; 9.188; 14.013; 13.428 states/eV per cell.
For reference, formation enthalpy at 0 K by record: -255; -69; -251; -279 meV/atom.